(1)
# AcZnBr6

An optimized crystal structure of AcZnBr6 (PBE, the Alexandria database).

Output
Raw total energy = -3.06 eV/atom

extended XYZ file:
```
8
Lattice="7.102 0.000 0.000 -3.478 6.376 0.000 -0.583 -3.694 6.273" Properties=species:S:1:pos:R:3 pbc="T T T"
Ac 0.000 0.000 0.000
Zn 3.260 -1.847 3.137
Br -1.380 2.551 1.266
Br 1.030 -1.848 4.552
Br 2.437 0.127 1.853
Br 0.605 2.555 4.420
Br 2.012 4.529 1.721
Br 4.422 0.131 5.007
```


(2)
# CdSnAs3

An optimized crystal structure of CdSnAs3 (PBE, the Alexandria database).

Output
Energy above the most stable polymorph in this dataset = 0.00 kcal/mol of atoms
Raw total energy = -2.97 eV/atom
ΔE_f = 0.804 eV per atom

extended XYZ file:
```
5
Lattice="5.170 0.000 0.000 0.000 5.170 0.000 0.000 0.000 5.170" Properties=species:S:1:pos:R:3 pbc="T T T"
Cd 0.000 0.000 0.000
Sn 2.585 2.585 2.585
As 0.000 0.000 2.585
As 0.000 2.585 0.000
As 2.585 0.000 0.000
```


(3)
# Ti3ReAs

An optimized crystal structure of Ti3ReAs (PBE, the Alexandria database).

Output
Energy above the most stable polymorph in this dataset = 0.00 kcal/mol of atoms
Raw total energy = -7.59 eV/atom
ΔE_f = 0.570 eV per atom

extended XYZ file:
```
5
Lattice="4.737 0.000 0.000 0.000 4.737 0.000 0.000 0.000 4.737" Properties=species:S:1:pos:R:3 pbc="T T T"
Ti 0.000 0.000 2.368
Ti 0.000 2.368 0.000
Ti 2.368 0.000 0.000
Re 0.000 0.000 0.000
As 2.368 2.368 2.368
```


(4)
# YEr2Tm

An optimized crystal structure of YEr2Tm (PBE, the Alexandria database).

Output
Energy above the most stable polymorph in this dataset = 0.42 kcal/mol of atoms
Raw total energy = -4.99 eV/atom
ΔE_f = 0.028 eV per atom

extended XYZ file:
```
4
Lattice="4.976 0.000 0.000 0.000 4.976 0.000 0.000 0.000 4.977" Properties=species:S:1:pos:R:3 pbc="T T T"
Y 0.000 0.000 0.000
Er 0.000 2.488 2.489
Er 2.488 0.000 2.489
Tm 2.488 2.488 0.000
```


(5)
# ZrTa2Fe

An optimized crystal structure of ZrTa2Fe (PBE, the Alexandria database).

Output
Energy above the most stable polymorph in this dataset = 2.61 kcal/mol of atoms
Raw total energy = -10.10 eV/atom
ΔE_f = 0.084 eV per atom

extended XYZ file:
```
4
Lattice="-1.594 2.382 4.551 1.594 -2.382 4.551 1.594 2.382 -4.551" Properties=species:S:1:pos:R:3 pbc="T T T"
Zr 0.000 0.000 0.000
Ta 0.000 0.000 4.210
Ta 0.000 2.382 2.081
Fe 1.594 0.000 2.188
```


(6)
# SiPdRh2

An optimized crystal structure of SiPdRh2 (PBE, the Alexandria database).

Output
Raw total energy = -6.81 eV/atom

extended XYZ file:
```
4
Lattice="2.858 0.000 0.000 0.000 2.858 0.000 0.000 0.000 6.832" Properties=species:S:1:pos:R:3 pbc="T T T"
Si 0.000 0.000 0.000
Pd 0.000 0.000 3.416
Rh 1.429 1.429 1.409
Rh 1.429 1.429 5.423
```


(7)
# Nd2SmDy5Tl

An optimized crystal structure of Nd2SmDy5Tl (PBE, the Alexandria database).

Output
Raw total energy = -4.22 eV/atom
ΔE_f = 0.182 eV per atom

extended XYZ file:
```
18
Lattice="-4.610 4.610 6.989 4.610 -4.610 6.989 4.610 4.610 -6.989" Properties=species:S:1:pos:R:3 pbc="T T T"
Nd 5.694 1.084 0.000
Nd 1.084 3.526 0.000
Nd 3.526 1.084 6.989
Nd -1.084 3.526 6.989
Sm 0.000 0.000 3.494
Sm 0.000 0.000 10.483
Dy 0.000 0.000 0.000
Dy 2.842 1.768 -1.905
Dy 2.842 -1.768 5.084
Dy 2.842 1.768 1.905
Dy 2.842 -1.768 8.894
Dy 0.000 0.000 6.989
Dy 1.768 6.377 -1.905
Dy 1.768 2.842 5.084
Dy 1.768 6.377 1.905
Dy 1.768 2.842 8.894
Tl 4.610 0.000 3.494
Tl 0.000 4.610 3.494
```


Here are the calculated volume numbers, same order: 284.1 138.2 106.3 123.2 69.1 55.8 594.1 (Å³/cell).